(1)
Density functional theory data (meta-GGA SCAN) for a PBEsol-optimized structure of BeMoIr2.

Geometry as CIF:
```
data_BeMoIr2
_chemical_formula_sum 'Be1 Mo1 Ir2'
_cell_length_a 2.682
_cell_length_b 2.682
_cell_length_c 8.131
_cell_angle_alpha 90.00
_cell_angle_beta 90.00
_cell_angle_gamma 115.35
_symmetry_space_group_name_H-M 'P 1'
_symmetry_Int_Tables_number 1
loop_
_symmetry_equiv_pos_as_xyz
'x,y,z'
loop_
_atom_site_label
_atom_site_type_symbol
_atom_site_fract_x
_atom_site_fract_y
_atom_site_fract_z
Be1 Be 0.500 0.500 0.000
Ir1 Ir 0.000 0.000 0.779
Ir2 Ir 0.000 0.000 0.221
Mo1 Mo 0.500 0.500 0.500
```

Properties
SG: No. 65
Uncorrected energy in eV per atom: -45.4654
Energy of formation from the pure elements in eV/atom: -0.106
Magnetic moment in μB/f.u.: 0.0

***

(2)
Density functional theory data (meta-GGA SCAN) for a PBEsol-optimized structure of Li2LaMn.

Geometry as CIF:
```
data_Li2LaMn
_chemical_formula_sum 'Li2 La1 Mn1'
_cell_length_a 4.929
_cell_length_b 4.941
_cell_length_c 4.929
_cell_angle_alpha 119.92
_cell_angle_beta 90.00
_cell_angle_gamma 119.92
_symmetry_space_group_name_H-M 'P 1'
_symmetry_Int_Tables_number 1
loop_
_symmetry_equiv_pos_as_xyz
'x,y,z'
loop_
_atom_site_label
_atom_site_type_symbol
_atom_site_fract_x
_atom_site_fract_y
_atom_site_fract_z
Li1 Li 0.000 0.000 0.000
Li2 Li 0.750 0.500 0.250
Mn1 Mn 0.500 0.000 0.500
La1 La 0.250 0.500 0.750
```

Properties
SG: No. 119
Distance to the lowest polymorph of the same formula in meV per atom: 0
Uncorrected energy in eV per atom: -16.3995
Energy of formation from the pure elements in eV/atom: 0.135
Magnetic moment in μB/f.u.: 4.2

***

(3)
Density functional theory data (meta-GGA SCAN) for a PBEsol-optimized structure of ZnGeSe2N.

Geometry as CIF:
```
data_ZnGeSe2N
_chemical_formula_sum 'Zn1 Ge1 Se2 N1'
_cell_length_a 3.694
_cell_length_b 5.028
_cell_length_c 5.028
_cell_angle_alpha 90.00
_cell_angle_beta 90.00
_cell_angle_gamma 90.00
_symmetry_space_group_name_H-M 'P 1'
_symmetry_Int_Tables_number 1
loop_
_symmetry_equiv_pos_as_xyz
'x,y,z'
loop_
_atom_site_label
_atom_site_type_symbol
_atom_site_fract_x
_atom_site_fract_y
_atom_site_fract_z
N1 N 0.500 0.000 0.000
Ge1 Ge 0.500 0.500 0.500
Zn1 Zn 0.000 0.000 0.000
Se1 Se 0.000 0.500 0.000
Se2 Se 0.000 0.000 0.500
```

Properties
SG: No. 123
ΔE_f (raw) in eV per atom: 0.7443
Uncorrected energy in eV per atom: -15.6659
Magnetic moment in μB/f.u.: 2.3

***

(4)
Density functional theory data (meta-GGA SCAN) for a PBEsol-optimized structure of Y3IrI3.

Geometry as CIF:
```
data_Y3IrI3
_chemical_formula_sum 'Y6 Ir2 I6'
_cell_length_a 4.176
_cell_length_b 8.618
_cell_length_c 11.987
_cell_angle_alpha 94.30
_cell_angle_beta 90.00
_cell_angle_gamma 90.00
_symmetry_space_group_name_H-M 'P 1'
_symmetry_Int_Tables_number 1
loop_
_symmetry_equiv_pos_as_xyz
'x,y,z'
loop_
_atom_site_label
_atom_site_type_symbol
_atom_site_fract_x
_atom_site_fract_y
_atom_site_fract_z
I1 I 0.750 0.641 0.633
I2 I 0.250 0.434 0.864
Y1 Y 0.250 0.902 0.678
I3 I 0.250 0.850 0.397
Y2 Y 0.750 0.098 0.322
Y3 Y 0.750 0.146 0.868
I4 I 0.250 0.359 0.367
Y4 Y 0.250 0.854 0.132
Y5 Y 0.250 0.255 0.103
Ir1 Ir 0.250 0.953 0.907
Y6 Y 0.750 0.745 0.897
Ir2 Ir 0.750 0.047 0.093
I5 I 0.750 0.150 0.603
I6 I 0.750 0.566 0.136
```

Properties
SG: No. 11
ΔE_f (raw) in eV per atom: -1.3195
Uncorrected energy in eV per atom: -39.1556
Magnetic moment in μB/f.u.: 0.0